A geometry-optimized Rb4Be structure, computed with PBE.

abc: 7.0983 7.0983 7.0983
angles: 90.00 90.00 90.00
Last column: nearest neighbours and their distance in Å.
Element x y z (fractional)
Rb (0.0000, 0.0000, 0.0000)  12 Rb 5.02
Rb (0.0000, 0.5000, 0.5000)  2 Be 3.55
Rb (0.5000, 0.0000, 0.5000)  2 Be 3.55
Rb (0.5000, 0.5000, 0.0000)  2 Be 3.55
Be (0.5000, 0.5000, 0.5000)  6 Rb 3.55

SG: Pm-3m
D(E_F): 0.76 states/eV/atom
M_tot: 0.00 μB per formula unit
final energy: -1.027 eV/atom
calculated formation energy: 48 kJ per mole of atoms